(1)
First-principles (PBE) data for crystalline LaYP2S8 at its relaxed geometry, as listed in Alexandria via LeMat-Bulk.

a b c (Å): 6.6080 6.6080 8.6648
angles (deg): 90.00 90.00 120.00
Atoms (fractional coordinates):
La1 0.0000 0.0000 0.5000
Y1 0.0000 0.0000 0.0000
P1 0.3333 0.6667 0.6922
P2 0.6667 0.3333 0.3078
S1 0.1637 0.3274 0.7727
S2 0.1637 0.8363 0.7727
S3 0.6726 0.8363 0.7727
S4 0.3274 0.1637 0.2273
S5 0.6667 0.3333 0.5363
S6 0.3333 0.6667 0.4637
S7 0.8363 0.6726 0.2273
S8 0.8363 0.1637 0.2273

## Properties
uncorrected formation energy = -80.9 kJ/mol of atoms
density of states at the Fermi level = 0.046 states/eV per atom
raw total energy = -65.29 eV per cell
symmetry = P-3m1, No. 164



(2)
First-principles (PBE) data for crystalline LaZnP2S at its relaxed geometry, as listed in Alexandria via LeMat-Bulk.

a b c (Å): 4.6121 4.6121 4.9316
angles (deg): 90.00 90.00 90.00
Atoms (fractional coordinates):
P1 0.0000 0.5000 0.0000
P2 0.5000 0.0000 0.0000
Zn1 0.0000 0.0000 0.0000
S1 0.0000 0.0000 0.5000
La1 0.5000 0.5000 0.5000

## Properties
uncorrected formation energy = -32.7 kJ/mol of atoms
density of states at the Fermi level = 0.916 states/eV per atom
raw total energy = -22.84 eV per cell
symmetry = P4/mmm, No. 123
energy above the most stable polymorph in this dataset = 0.0 kJ/mol of atoms



(3)
First-principles (PBE) data for crystalline LaZnP2S at its relaxed geometry, as listed in Alexandria via LeMat-Bulk.

a b c (Å): 5.6943 5.6943 5.4201
angles (deg): 90.00 90.00 90.00
Each line ends with the local moment (μB).
Atoms (fractional coordinates):
P1 0.0000 0.5000 0.0000  0.31
P2 0.5000 0.0000 0.0000  0.31
Zn1 0.5000 0.5000 0.5000  0.00
S1 0.0000 0.0000 0.5000  0.17
La1 0.0000 0.0000 0.0000  0.04

## Properties
uncorrected formation energy = 58.8 kJ/mol of atoms
density of states at the Fermi level = 1.235 states/eV per atom
raw total energy = -18.10 eV per cell
symmetry = P4/mmm, No. 123
energy above the most stable polymorph in this dataset = 91.5 kJ/mol of atoms



(4)
First-principles (PBE) data for crystalline LaZnPS at its relaxed geometry, as listed in Alexandria via LeMat-Bulk.

a b c (Å): 4.3696 4.3696 11.5895
angles (deg): 79.13 79.13 60.00
Atoms (fractional coordinates):
La1 0.1047 0.1047 0.6860
La2 0.8953 0.8953 0.3140
Zn1 0.6937 0.6937 0.9189
Zn2 0.3063 0.3063 0.0811
P1 0.6208 0.6208 0.1377
P2 0.3792 0.3792 0.8623
S1 0.8023 0.8023 0.5932
S2 0.1977 0.1977 0.4068

## Properties
uncorrected formation energy = -114.1 kJ/mol of atoms
density of states at the Fermi level = 0.006 states/eV per atom
raw total energy = -40.94 eV per cell
symmetry = R-3m, No. 166



(5)
First-principles (PBE) data for crystalline LaZrPS2 at its relaxed geometry, as listed in Alexandria via LeMat-Bulk.

a b c (Å): 4.9060 4.9060 5.0937
angles (deg): 90.00 90.00 90.00
Atoms (fractional coordinates):
P1 0.0000 0.0000 0.5000
S1 0.0000 0.5000 0.0000
S2 0.5000 0.0000 0.0000
Zr1 0.0000 0.0000 0.0000
La1 0.5000 0.5000 0.5000

## Properties
uncorrected formation energy = -123.2 kJ/mol of atoms
density of states at the Fermi level = 0.223 states/eV per atom
raw total energy = -33.53 eV per cell
symmetry = P4/mmm, No. 123
energy above the most stable polymorph in this dataset = 0.0 kJ/mol of atoms



(6)
First-principles (PBE) data for crystalline LaZrPS2 at its relaxed geometry, as listed in Alexandria via LeMat-Bulk.

a b c (Å): 5.3162 5.3162 5.3431
angles (deg): 90.00 90.00 90.00
Each line ends with the local moment (μB).
Atoms (fractional coordinates):
P1 0.0000 0.0000 0.5000  0.30
S1 0.0000 0.5000 0.0000  0.12
S2 0.5000 0.0000 0.0000  0.12
Zr1 0.5000 0.5000 0.5000  -1.04
La1 0.0000 0.0000 0.0000  0.07

## Properties
uncorrected formation energy = 13.7 kJ/mol of atoms
density of states at the Fermi level = 1.096 states/eV per atom
raw total energy = -26.43 eV per cell
symmetry = P4/mmm, No. 123
energy above the most stable polymorph in this dataset = 136.9 kJ/mol of atoms